# PtC, relaxed, DFT PBE-GGA
# - Offset from the most stable computed form: 90.4 kJ/mol of atoms
# - Total energy: -25.2 eV/cell
data_PtC
_symmetry_space_group_name_H-M 'P 1'
_symmetry_Int_Tables_number 1
_cell_length_a 5.336
_cell_length_b 5.336
_cell_length_c 3.029
_cell_angle_alpha 90.00
_cell_angle_beta 90.00
_cell_angle_gamma 146.86
loop_
_symmetry_equiv_pos_as_xyz
'x,y,z'
loop_
_atom_site_label
_atom_site_fract_x
_atom_site_fract_y
_atom_site_fract_z
_atom_site_occupancy
Pt1 0.125 0.875 0.750 1
Pt2 0.875 0.125 0.250 1
C1 0.336 0.664 0.750 1
C2 0.664 0.336 0.250 1